Record 1
Computed, not measured: In6SnPb after structural relaxation at the GGA-PBE level of DFT.

abc: 5.048 5.048 8.738
angles: 90.00 90.00 90.00
Fractional positions:
In 0.000 0.000 0.000
In 0.000 0.000 0.500
In 0.000 0.500 0.244
In 0.000 0.500 0.756
In 0.500 0.000 0.244
In 0.500 0.000 0.756
Sn 0.500 0.500 0.000
Pb 0.500 0.500 0.500

Output
ΔH_f (0 K): 0.019 eV per atom
space-group type: No. 123
density: 7.6 Mg/m³
V: 27.84 Å³ per atom

=====

Record 2
Computed, not measured: CdPtAu2 after structural relaxation at the GGA-PBE level of DFT.

abc: 9.783 9.783 9.783
angles: 17.20 17.20 17.20
Fractional positions:
Cd 0.000 0.000 0.000
Pt 0.500 0.500 0.500
Au 0.248 0.248 0.248
Au 0.752 0.752 0.752

Output
ΔH_f (0 K): -0.042 eV per atom
space-group type: No. 166
density: 16.3 Mg/m³
V: 17.86 Å³ per atom

=====

Record 3
Computed, not measured: TbThAu2 after structural relaxation at the GGA-PBE level of DFT.

abc: 3.579 3.579 7.661
angles: 90.00 90.00 90.00
Fractional positions:
Tb 0.000 0.000 0.000
Th 0.000 0.000 0.500
Au 0.500 0.500 0.231
Au 0.500 0.500 0.769

Output
ΔH_f (0 K): -0.703 eV per atom
space-group type: No. 123
density: 13.3 Mg/m³
V: 24.53 Å³ per atom

=====

Record 4
Computed, not measured: OsPdN2F after structural relaxation at the GGA-PBE level of DFT.

abc: 3.840 3.840 4.199
angles: 90.00 90.00 90.00
Fractional positions:
Os 0.000 0.000 0.000
Pd 0.500 0.500 0.500
N 0.000 0.500 0.000
N 0.500 0.000 0.000
F 0.000 0.000 0.500

Output
space-group type: No. 123
density: 9.2 Mg/m³
raw formation energy: 264 kJ/mol of formula units
V: 12.38 Å³ per atom

=====

Record 5
Computed, not measured: TbYTm4 after structural relaxation at the GGA-PBE level of DFT.

abc: 8.441 8.441 6.410
angles: 100.05 100.05 118.08
Fractional positions:
Tb 0.002 0.998 0.750
Tb 0.998 0.002 0.250
Y 0.414 0.586 0.250
Y 0.586 0.414 0.750
Tm 0.101 0.711 0.968
Tm 0.165 0.428 0.622
Tm 0.289 0.899 0.532
Tm 0.428 0.165 0.122
Tm 0.572 0.835 0.878
Tm 0.711 0.101 0.468
Tm 0.835 0.572 0.378
Tm 0.899 0.289 0.032

Output
ΔH_f (0 K): 0.147 eV per atom
space-group type: No. 15
density: 8.1 Mg/m³
V: 31.59 Å³ per atom

=====

Record 6
Computed, not measured: TlSbAu after structural relaxation at the GGA-PBE level of DFT.

abc: 4.676 4.676 4.646
angles: 90.00 90.00 120.00
Fractional positions:
Tl 0.000 0.000 0.000
Sb 0.333 0.667 0.502
Au 0.667 0.333 0.494

Output
space-group type: No. 156
density: 9.9 Mg/m³
raw formation energy: -8 kJ/mol of formula units
V: 29.32 Å³ per atom